w) A relaxed structure of CuOsRu. Source: the Alexandria database, functional PBE.

Its volume is 13.5 Å³/atom. As for the total magnetization: 0.0 μB/f.u.

Geometry as POSCAR:
```
CuOsRu
1.0
-1.371 1.853 3.983
1.371 -1.853 3.983
1.371 1.853 -3.983
Cu Os Ru
1 1 1
Cartesian
0.000 0.000 0.000
0.000 0.000 2.631
0.000 0.000 5.350
```

x) A relaxed structure of CuOsRu. Source: the Alexandria database, functional PBE.

Its volume is 13.5 Å³/atom. As for the total magnetization: 0.0 μB/f.u.

Geometry as POSCAR:
```
CuOsRu
1.0
4.596 0.000 0.000
0.000 4.394 0.000
-2.279 0.000 3.998
Cu Os Ru
2 2 2
Cartesian
0.397 1.098 0.701
1.921 3.295 3.297
1.901 3.295 0.628
0.416 1.098 3.370
-0.355 3.295 1.950
2.672 1.098 2.048
```

y) A relaxed structure of CuOsRu. Source: the Alexandria database, functional PBE.

Its volume is 13.5 Å³/atom. As for the total magnetization: 0.0 μB/f.u.

Geometry as POSCAR:
```
CuOsRu
1.0
4.214 -1.855 0.000
4.214 1.855 0.000
-1.791 0.000 5.189
Cu Os Ru
2 2 2
Cartesian
0.000 0.000 0.000
-0.896 0.000 2.594
1.562 0.000 3.435
5.075 0.000 1.753
2.494 0.000 0.859
4.143 0.000 4.330
```

z) A relaxed structure of CuOsRu. Source: the Alexandria database, functional PBE.

Its volume is 13.6 Å³/atom. As for the total magnetization: 0.0 μB/f.u.

Geometry as POSCAR:
```
CuOsRu
1.0
4.301 -1.884 0.000
4.301 1.884 0.000
-1.523 0.000 5.049
Cu Os Ru
2 2 2
Cartesian
0.000 0.000 0.000
4.287 0.000 4.295
1.680 0.000 3.407
7.737 0.000 2.488
2.664 0.000 0.846
5.171 0.000 1.826
```

Ordering by calculated energy gives the sequence y), w), x), z), with the first entry being the most stable.

w) A relaxed structure of Cu2OsRu. Source: the Alexandria database, functional PBE.

Its volume is 13.6 Å³/atom. As for the total magnetization: 0.2 μB/f.u.

Geometry as POSCAR:
```
Cu2OsRu
1.0
1.343 -2.250 0.000
1.343 2.250 0.000
0.000 0.000 8.992
Cu Os Ru
2 1 1
Cartesian
0.000 0.000 2.239
0.000 0.000 6.752
1.343 0.000 4.496
1.343 0.000 0.000
```

x) A relaxed structure of Cu2OsRu. Source: the Alexandria database, functional PBE.

Its volume is 13.0 Å³/atom. As for the total magnetization: 0.0 μB/f.u.

Geometry as POSCAR:
```
Cu2OsRu
1.0
-1.473 2.117 4.161
1.473 -2.117 4.161
1.473 2.117 -4.161
Cu Os Ru
2 1 1
Cartesian
0.000 0.000 0.000
0.000 2.117 2.263
1.473 0.000 2.130
0.000 0.000 4.289
```

Ordering by calculated energy gives the sequence x), w), with the first entry being the most stable.

w) A relaxed structure of Cu2Os2Ru. Source: the Alexandria database, functional PBE.

Its volume is 14.4 Å³/atom. As for the total magnetization: 0.6 μB/f.u.

Geometry as POSCAR:
```
Cu2Os2Ru
1.0
-1.630 1.630 6.769
1.630 -1.630 6.769
1.630 1.630 -6.769
Cu Os Ru
2 2 1
Cartesian
1.630 0.000 3.384
0.000 1.630 3.384
0.000 0.000 1.322
0.000 0.000 12.215
0.000 0.000 6.769
```

x) A relaxed structure of Cu2Os2Ru. Source: the Alexandria database, functional PBE.

Its volume is 14.2 Å³/atom. As for the total magnetization: 0.9 μB/f.u.

Geometry as POSCAR:
```
Cu2Os2Ru
1.0
7.180 0.000 0.000
0.000 7.180 0.000
0.000 0.000 2.748
Cu Os Ru
4 4 2
Cartesian
1.259 2.331 0.000
2.331 5.921 0.000
4.848 1.259 0.000
5.921 4.848 0.000
0.872 4.462 1.374
2.718 0.872 1.374
4.462 6.308 1.374
6.308 2.718 1.374
0.000 0.000 1.374
3.590 3.590 1.374
```

Ordering by calculated energy gives the sequence x), w), with the first entry being the most stable.

w) A relaxed structure of CuOs3S. Source: the Alexandria database, functional PBE.

Its volume is 16.1 Å³/atom. As for the total magnetization: 0.8 μB/f.u.

Geometry as POSCAR:
```
CuOs3S
1.0
4.317 0.000 0.000
0.000 4.317 0.000
0.000 0.000 4.317
Cu Os S
1 3 1
Cartesian
0.000 0.000 0.000
0.000 2.159 2.159
2.159 0.000 2.159
2.159 2.159 0.000
2.159 2.159 2.159
```

x) A relaxed structure of CuOs3S. Source: the Alexandria database, functional PBE.

Its volume is 17.8 Å³/atom. As for the total magnetization: 1.0 μB/f.u.

Geometry as POSCAR:
```
CuOs3S
1.0
4.467 0.000 0.000
0.000 4.467 0.000
0.000 0.000 4.467
Cu Os S
1 3 1
Cartesian
0.000 0.000 0.000
0.000 0.000 2.234
0.000 2.234 0.000
2.234 0.000 0.000
2.234 2.234 2.234
```

Ordering by calculated energy gives the sequence w), x), with the first entry being the most stable.